*1*
## TbNdSb2 (PBE-GGA)

Data for TbNdSb2 after structural relaxation.

Cell: 4.431 4.431 22.724 Å, 90.00 90.00 120.00°
Fractional coordinates of all 12 atoms:
1 Tb 0.000 0.000 0.000
2 Tb 0.333 0.667 0.667
3 Tb 0.667 0.333 0.333
4 Nd 0.000 0.000 0.171
5 Nd 0.333 0.667 0.838
6 Nd 0.667 0.333 0.504
7 Sb 0.000 0.000 0.587
8 Sb 0.000 0.000 0.751
9 Sb 0.333 0.667 0.253
10 Sb 0.333 0.667 0.417
11 Sb 0.667 0.333 0.084
12 Sb 0.667 0.333 0.920

Summary:
spin magnetization	0.00	μB per formula unit
D(E_F)	1.21	states/eV per cell
space group	R3m

*2*
## TbNdSb2 (PBE-GGA)

Data for TbNdSb2 after structural relaxation.

Cell: 4.464 6.314 8.924 Å, 90.00 90.00 90.00°
Fractional coordinates of all 8 atoms:
1 Tb 0.250 0.250 0.124
2 Tb 0.750 0.750 0.876
3 Nd 0.250 0.250 0.626
4 Nd 0.750 0.750 0.374
5 Sb 0.250 0.750 0.119
6 Sb 0.250 0.750 0.631
7 Sb 0.750 0.250 0.369
8 Sb 0.750 0.250 0.881

Summary:
spin magnetization	0.00	μB per formula unit
D(E_F)	1.27	states/eV per cell
space group	Pmmn

We find *2* to be the most stable, with the next structure 124 meV per atom higher.

*1*
## TbNd2Sb (PBE-GGA)

Data for TbNd2Sb after structural relaxation.

Cell: 7.815 7.815 7.815 Å, 90.00 90.00 90.00°
Fractional coordinates of all 16 atoms:
1 Tb 0.000 0.000 0.000
2 Tb 0.000 0.500 0.500
3 Tb 0.500 0.000 0.500
4 Tb 0.500 0.500 0.000
5 Nd 0.250 0.250 0.250
6 Nd 0.250 0.250 0.750
7 Nd 0.250 0.750 0.250
8 Nd 0.250 0.750 0.750
9 Nd 0.750 0.250 0.250
10 Nd 0.750 0.250 0.750
11 Nd 0.750 0.750 0.250
12 Nd 0.750 0.750 0.750
13 Sb 0.000 0.000 0.500
14 Sb 0.000 0.500 0.000
15 Sb 0.500 0.000 0.000
16 Sb 0.500 0.500 0.500

Summary:
spin magnetization	0.00	μB per formula unit
D(E_F)	8.78	states/eV per cell
space group	Fm-3m

*2*
## TbNd2Sb (PBE-GGA)

Data for TbNd2Sb after structural relaxation.

Cell: 4.118 4.118 28.937 Å, 90.00 90.00 120.00°
Fractional coordinates of all 12 atoms:
1 Tb 0.000 0.000 0.000
2 Tb 0.333 0.667 0.667
3 Tb 0.667 0.333 0.333
4 Nd 0.000 0.000 0.235
5 Nd 0.000 0.000 0.431
6 Nd 0.333 0.667 0.098
7 Nd 0.333 0.667 0.902
8 Nd 0.667 0.333 0.569
9 Nd 0.667 0.333 0.765
10 Sb 0.000 0.000 0.833
11 Sb 0.333 0.667 0.500
12 Sb 0.667 0.333 0.167

Summary:
spin magnetization	1.04	μB per formula unit
D(E_F)	12.87	states/eV per cell
space group	R3m

We find *2* to be the most stable, with the next structure 31 meV per atom higher.

*1*
## TbNd2Sb (PBE-GGA)

Data for TbNd2Sb after structural relaxation.

Cell: 4.619 4.613 11.892 Å, 90.00 101.17 90.00°
Fractional coordinates of all 8 atoms:
1 Tb 0.195 0.250 0.390
2 Tb 0.805 0.750 0.610
3 Nd 0.068 0.750 0.137
4 Nd 0.437 0.750 0.875
5 Nd 0.563 0.250 0.125
6 Nd 0.932 0.250 0.863
7 Sb 0.328 0.250 0.656
8 Sb 0.672 0.750 0.344

Summary:
spin magnetization	0.00	μB per formula unit
D(E_F)	7.75	states/eV per cell
space group	P2_1/m

*2*
## TbNd2Sb (PBE-GGA)

Data for TbNd2Sb after structural relaxation.

Cell: 4.870 4.870 4.933 Å, 90.00 90.00 90.00°
Fractional coordinates of all 4 atoms:
1 Tb 0.000 0.000 0.000
2 Nd 0.000 0.500 0.500
3 Nd 0.500 0.000 0.500
4 Sb 0.500 0.500 0.000

Summary:
spin magnetization	0.00	μB per formula unit
D(E_F)	3.79	states/eV per cell
space group	P4/mmm

*3*
## TbNd2Sb (PBE-GGA)

Data for TbNd2Sb after structural relaxation.

Cell: 4.241 4.241 6.876 Å, 90.00 90.00 90.00°
Fractional coordinates of all 4 atoms:
1 Tb 0.000 0.000 0.000
2 Nd 0.500 0.500 0.271
3 Nd 0.500 0.500 0.729
4 Sb 0.000 0.000 0.500

Summary:
spin magnetization	0.00	μB per formula unit
D(E_F)	4.63	states/eV per cell
space group	P4/mmm

We find *1* to be the most stable, with the next structure 10 meV per atom higher.